(1)
Material: K6BaH8
Method: DFT, GGA-PBE
State: optimized geometry

Cell: 9.8849 9.8849 4.1050 Å, 90.00 90.00 120.00°
With the nearest neighbours (Å) after each atom.
Positions (direct):
1 K 0.1306 0.4354 0.2362  3 H 2.55-2.63
2 K 0.3048 0.8694 0.2362  3 H 2.55-2.63
3 K 0.4354 0.3048 0.7638  3 H 2.55-2.63
4 K 0.5646 0.6952 0.2362  3 H 2.55-2.63
5 K 0.6952 0.1306 0.7638  3 H 2.55-2.63
6 K 0.8694 0.5646 0.7638  3 H 2.55-2.63
7 Ba 0.0000 0.0000 0.5000  6 H 2.74
8 H 0.0086 0.7459 0.2603  3 K 2.55-2.63, 1 Ba 2.74
9 H 0.2541 0.2627 0.2603  3 K 2.55-2.63, 1 Ba 2.74
10 H 0.2627 0.0086 0.7397  3 K 2.55-2.63, 1 Ba 2.74
11 H 0.3333 0.6667 0.7410  6 K 2.96-2.99
12 H 0.6667 0.3333 0.2590  6 K 2.96-2.99
13 H 0.7373 0.9914 0.2603  3 K 2.55-2.63, 1 Ba 2.74
14 H 0.7459 0.7373 0.7397  3 K 2.55-2.63, 1 Ba 2.74
15 H 0.9914 0.2541 0.7397  3 K 2.55-2.63, 1 Ba 2.74

The calculation puts the total magnetic moment at 0.00 μB per formula unit. The calculation puts the final energy at -2.507 eV per atom.

=====

(2)
Material: Mg2Cd4Hg
Method: DFT, GGA-PBE
State: optimized geometry

Cell: 7.0065 9.9855 4.8225 Å, 90.00 91.12 90.00°
With the nearest neighbours (Å) after each atom.
Positions (direct):
1 Mg 0.2463 0.0000 0.4933  4 Cd 2.95-3.15, 2 Hg 2.99-3.00
2 Mg 0.2537 0.5000 0.5067  4 Cd 2.95-3.15, 2 Hg 2.99-3.00
3 Mg 0.7463 0.5000 0.4933  4 Cd 2.95-3.15, 2 Hg 2.99-3.00
4 Mg 0.7537 0.0000 0.5067  4 Cd 2.95-3.15, 2 Hg 2.99-3.00
5 Cd 0.0000 0.2390 0.5000  4 Mg 2.95-3.15, 4 Cd 2.95-3.01
6 Cd 0.0000 0.7610 0.5000  4 Mg 2.95-3.15, 4 Cd 2.95-3.01
7 Cd 0.2500 0.2500 0.0000  4 Cd 2.95-3.01, 2 Hg 3.05
8 Cd 0.2500 0.7500 0.0000  4 Cd 2.95-3.01, 2 Hg 3.05
9 Cd 0.5000 0.2610 0.5000  4 Mg 2.95-3.15, 4 Cd 2.95-3.01
10 Cd 0.5000 0.7390 0.5000  4 Mg 2.95-3.15, 4 Cd 2.95-3.01
11 Cd 0.7500 0.2500 0.0000  4 Cd 2.95-3.01, 2 Hg 3.05
12 Cd 0.7500 0.7500 0.0000  4 Cd 2.95-3.01, 2 Hg 3.05
13 Hg 0.0000 0.5000 0.0000  4 Mg 2.99-3.00, 4 Cd 3.05
14 Hg 0.5000 0.0000 0.0000  4 Mg 2.99-3.00, 4 Cd 3.05

The calculation puts the total magnetic moment at 0.00 μB per formula unit. The calculation puts the final energy at -1.035 eV per atom. As for the formation energy: -0.013 eV per atom. The energy above the lowest structure with this stoichiometry comes out at 20 meV/atom.

=====

(3)
Material: PrPaGeO6
Method: DFT, GGA-PBE
State: optimized geometry

Cell: 5.5242 5.5242 9.3672 Å, 90.00 90.00 120.00°
With the nearest neighbours (Å) after each atom.
Positions (direct):
1 Pr 0.3333 0.6667 0.2500  6 O 2.40
2 Pr 0.6667 0.3333 0.7500  6 O 2.40
3 Pa 0.0000 0.0000 0.0000  6 O 2.21
4 Pa 0.0000 0.0000 0.5000  6 O 2.21
5 Ge 0.3333 0.6667 0.7500  6 O 1.96
6 Ge 0.6667 0.3333 0.2500  6 O 1.96
7 O 0.0634 0.3607 0.6301  1 Ge 1.96
8 O 0.0634 0.7027 0.8699  1 Ge 1.96
9 O 0.2973 0.3607 0.8699  1 Ge 1.96
10 O 0.2973 0.9366 0.6301  1 Ge 1.96
11 O 0.3607 0.0634 0.1301  1 Ge 1.96
12 O 0.3607 0.2973 0.3699  1 Ge 1.96
13 O 0.6393 0.7027 0.6301  1 Ge 1.96
14 O 0.6393 0.9366 0.8699  1 Ge 1.96
15 O 0.7027 0.0634 0.3699  1 Ge 1.96
16 O 0.7027 0.6393 0.1301  1 Ge 1.96
17 O 0.9366 0.2973 0.1301  1 Ge 1.96
18 O 0.9366 0.6393 0.3699  1 Ge 1.96

The calculation puts the total magnetic moment at 0.00 μB per formula unit. The calculation puts the final energy at -8.160 eV per atom.

=====

(4)
Material: ZnB3H2Pt8
Method: DFT, GGA-PBE
State: optimized geometry

Cell: 5.7747 5.7747 5.7747 Å, 76.30 76.30 76.30°
With the nearest neighbours (Å) after each atom.
Positions (direct):
1 Zn 0.0000 0.0000 0.0000  1 H 1.90
2 B 0.4489 0.4489 0.9448  6 Pt 2.17-2.33
3 B 0.4489 0.9448 0.4489  6 Pt 2.17-2.33
4 B 0.9448 0.4489 0.4489  6 Pt 2.17-2.33
5 H 0.4336 0.4336 0.4336  3 Pt 1.86
6 H 0.8435 0.8435 0.8435  1 Pt 1.67
7 Pt 0.2021 0.2021 0.2021  3 B 2.29, 1 Zn 2.45
8 Pt 0.2240 0.7136 0.7136  1 H 2.16, 2 B 2.17
9 Pt 0.2375 0.2375 0.6590  1 H 1.86
10 Pt 0.2375 0.6590 0.2375  1 H 1.86
11 Pt 0.6590 0.2375 0.2375  1 H 1.86
12 Pt 0.7062 0.7062 0.7062  1 H 1.67
13 Pt 0.7136 0.2240 0.7136  1 H 2.16, 2 B 2.17
14 Pt 0.7136 0.7136 0.2240  1 H 2.16, 2 B 2.17

The calculation puts the total magnetic moment at 0.00 μB per formula unit. The calculation puts the final energy at -5.507 eV per atom.

=====

(5)
Material: CeHo10Tm4
Method: DFT, GGA-PBE
State: optimized geometry

Cell: 9.3051 9.3051 9.3051 Å, 99.56 99.56 131.89°
With the nearest neighbours (Å) after each atom.
Positions (direct):
1 Ce 0.0000 0.0000 0.0000  8 Ho 3.27
2 Ho 0.0503 0.3485 0.9007  1 Ce 3.27, 3 Tm 3.29-3.30
3 Ho 0.1496 0.0503 0.7018  1 Ce 3.27, 3 Tm 3.29-3.30
4 Ho 0.2500 0.7500 0.5000  4 Tm 3.29
5 Ho 0.3485 0.4478 0.2982  1 Ce 3.27, 3 Tm 3.29-3.30
6 Ho 0.4478 0.1496 0.0993  1 Ce 3.27, 3 Tm 3.29-3.30
7 Ho 0.5522 0.8504 0.9007  1 Ce 3.27, 3 Tm 3.29-3.30
8 Ho 0.6515 0.5522 0.7018  1 Ce 3.27, 3 Tm 3.29-3.30
9 Ho 0.7500 0.2500 0.5000  4 Tm 3.29
10 Ho 0.8504 0.9497 0.2982  1 Ce 3.27, 3 Tm 3.29-3.30
11 Ho 0.9497 0.6515 0.0993  1 Ce 3.27, 3 Tm 3.29-3.30
12 Tm 0.1998 0.3997 0.5995  8 Ho 3.29-3.30
13 Tm 0.3997 0.8002 0.2000  8 Ho 3.29-3.30
14 Tm 0.6003 0.1998 0.8000  8 Ho 3.29-3.30
15 Tm 0.8002 0.6003 0.4005  8 Ho 3.29-3.30

The calculation puts the total magnetic moment at 1.93 μB per formula unit. The calculation puts the final energy at -3.888 eV per atom. As for the formation energy: 0.752 eV per atom.

=====

(6)
Material: AcPmCdAu
Method: DFT, GGA-PBE
State: optimized geometry

Cell: 3.8590 3.8590 7.8132 Å, 90.00 90.00 90.00°
With the nearest neighbours (Å) after each atom.
Positions (direct):
1 Ac 0.0000 0.0000 0.0000  4 Au 3.43, 4 Cd 3.52, 1 Pm 3.68
2 Pm 0.0000 0.0000 0.4709  4 Au 3.16, 4 Cd 3.33
3 Cd 0.5000 0.5000 0.7148  4 Pm 3.33, 1 Au 3.51, 4 Ac 3.52
4 Au 0.5000 0.5000 0.2660  4 Pm 3.16, 4 Ac 3.43, 1 Cd 3.51

The calculation puts the total magnetic moment at 0.00 μB per formula unit. The calculation puts the final energy at -3.797 eV per atom. As for the formation energy: -0.534 eV per atom. The energy above the lowest structure with this stoichiometry comes out at 0 meV/atom.

=====

(7)
Material: TiTePbF2
Method: DFT, GGA-PBE
State: optimized geometry

Cell: 4.3614 4.3614 6.4678 Å, 90.00 90.00 90.00°
With the nearest neighbours (Å) after each atom.
Positions (direct):
1 Ti 0.0000 0.0000 0.0000  4 Pb 3.08
2 Te 0.5000 0.5000 0.5000  4 F 2.18
3 Pb 0.5000 0.5000 0.0000  4 Ti 3.08, 2 Te 3.23
4 F 0.0000 0.5000 0.5000  2 Te 2.18
5 F 0.5000 0.0000 0.5000  2 Te 2.18

The calculation puts the total magnetic moment at 1.61 μB per formula unit. The calculation puts the final energy at -4.122 eV per atom.

=====

(8)
Material: Ba6HPd2I3
Method: DFT, GGA-PBE
State: optimized geometry

Cell: 7.9006 7.9006 9.1735 Å, 98.27 98.27 119.97°
With the nearest neighbours (Å) after each atom.
Positions (direct):
1 Ba 0.0668 0.3956 0.2002  1 H 3.14, 2 Pd 3.18-3.19
2 Ba 0.2624 0.2624 0.7981  1 H 3.15, 2 Pd 3.18
3 Ba 0.3956 0.0668 0.2002  1 H 3.14, 2 Pd 3.18-3.19
4 Ba 0.6044 0.9332 0.7998  1 H 3.14, 2 Pd 3.18-3.19
5 Ba 0.7376 0.7376 0.2019  1 H 3.15, 2 Pd 3.18
6 Ba 0.9332 0.6044 0.7998  1 H 3.14, 2 Pd 3.18-3.19
7 H 0.0000 0.0000 0.0000  6 Ba 3.14-3.15
8 Pd 0.3336 0.6664 0.0000  6 Ba 3.18-3.19
9 Pd 0.6664 0.3336 0.0000  6 Ba 3.18-3.19
10 I 0.1689 0.8311 0.5000  6 Ba 3.71-3.73
11 I 0.5000 0.5000 0.5000  6 Ba 3.71-3.74
12 I 0.8311 0.1689 0.5000  6 Ba 3.71-3.73

The calculation puts the total magnetic moment at 0.00 μB per formula unit. The calculation puts the final energy at -3.421 eV per atom.